Material: Te2IrRh
Method: DFT, PBE
State: relaxed

Its energy above the lowest structure with this stoichiometry is 0 meV per atom. Its uncorrected formation energy is -0.0794 eV per atom.

a = 3.6068 Å, b = 3.6068 Å, c = 6.8444 Å
α = 90.00°, β = 90.00°, γ = 90.00°
Closest atoms and distances in Å follow each position.
Atoms (fractional coordinates):
1 Te 0.0000 0.0000 0.8872  1 Ir 2.59, 4 Rh 2.74
2 Te 0.5000 0.5000 0.3623  1 Rh 2.60, 4 Ir 2.74
3 Ir 0.0000 0.0000 0.5083  5 Te 2.59-2.74
4 Rh 0.5000 0.5000 0.7422  5 Te 2.60-2.74

Material: Ho3ZrTl4
Method: DFT, PBE
State: relaxed

The formation energy from the elements comes out at -0.220 eV/atom.

a = 5.4465 Å, b = 7.0794 Å, c = 10.7267 Å
α = 90.00°, β = 90.00°, γ = 90.00°
Closest atoms and distances in Å follow each position.
Atoms (fractional coordinates):
1 Tl 0.5000 0.7447 0.0000  6 Ho 3.22-3.27, 2 Zr 3.23, 3 Tl 3.46-3.53
2 Tl 0.5000 0.7447 0.5000  6 Ho 3.22-3.27, 2 Zr 3.23, 3 Tl 3.46-3.53
3 Tl 0.5000 0.2553 0.0000  6 Ho 3.22-3.27, 2 Zr 3.23, 3 Tl 3.46-3.53
4 Tl 0.5000 0.2553 0.5000  6 Ho 3.22-3.27, 2 Zr 3.23, 3 Tl 3.46-3.53
5 Tl 0.0771 0.7442 0.7500  6 Ho 3.20-3.31, 2 Zr 3.22, 3 Tl 3.46-3.53
6 Tl 0.9229 0.7442 0.2500  6 Ho 3.20-3.31, 2 Zr 3.22, 3 Tl 3.46-3.53
7 Tl 0.9229 0.2558 0.2500  6 Ho 3.20-3.31, 2 Zr 3.22, 3 Tl 3.46-3.53
8 Tl 0.0771 0.2558 0.7500  6 Ho 3.20-3.31, 2 Zr 3.22, 3 Tl 3.46-3.53
9 Ho 0.0000 0.0000 0.0000  8 Tl 3.26-3.27, 2 Zr 3.54, 2 Ho 3.57
10 Ho 0.0000 0.0000 0.5000  8 Tl 3.26-3.27, 2 Zr 3.54, 2 Ho 3.57
11 Ho 0.5680 0.0000 0.7500  8 Tl 3.23-3.31, 4 Ho 3.54-3.57
12 Ho 0.4320 0.0000 0.2500  8 Tl 3.23-3.31, 4 Ho 3.54-3.57
13 Ho 0.5818 0.5000 0.7500  8 Tl 3.20-3.25, 2 Zr 3.52, 2 Ho 3.54
14 Ho 0.4182 0.5000 0.2500  8 Tl 3.20-3.25, 2 Zr 3.52, 2 Ho 3.54
15 Zr 0.0000 0.5000 0.0000  8 Tl 3.22-3.23, 4 Ho 3.52-3.54
16 Zr 0.0000 0.5000 0.5000  8 Tl 3.22-3.23, 4 Ho 3.52-3.54

Material: NaPOsAu
Method: DFT, PBE
State: relaxed

The formation energy from the elements comes out at -0.270 eV/atom.

a = 3.9165 Å, b = 3.9165 Å, c = 10.4662 Å
α = 90.00°, β = 90.00°, γ = 90.00°
Closest atoms and distances in Å follow each position.
Atoms (fractional coordinates):
1 Na 0.7500 0.7500 0.2647  4 P 3.13, 4 Au 3.15, 4 Os 3.39
2 Na 0.2500 0.2500 0.7353  4 P 3.13, 4 Au 3.15, 4 Os 3.39
3 P 0.7500 0.7500 0.8737  4 Os 2.36
4 P 0.2500 0.2500 0.1263  4 Os 2.36
5 Os 0.7500 0.2500 0.0000  4 P 2.36
6 Os 0.2500 0.7500 0.0000  4 P 2.36
7 Au 0.2500 0.7500 0.5000  4 Au 2.77
8 Au 0.7500 0.2500 0.5000  4 Au 2.77